DFT (SCAN) results for KMnAl2 at its PBEsol-relaxed geometry.

Unit cell a=4.835 b=4.835 c=4.835 alpha=60.00 beta=60.00 gamma=60.00
Each line ends with the local moment (μB).
Atoms (fractional coordinates):
Mn (0.500, 0.500, 0.500)  4.11
Al (0.250, 0.250, 0.250)  -0.05
K (0.000, 0.000, 0.000)  -0.02
Al (0.750, 0.750, 0.750)  -0.05

Summary:
As for the space-group type: Fm-3m. Its density of states at the Fermi level is 1.58 states/eV/cell. For the energy above the most stable polymorph in this dataset, the calculation gives 0.015 eV per atom. The crystal system is cubic. The energy relative to the elements is 0.45 eV per atom.